# 1
Material: Ti2AlPb2
Method: DFT, GGA-PBE
State: optimized geometry

## Properties
Energy of formation (meV/atom): 59
D(E_F) (states/eV/f.u.): 3.13

Lattice parameters (Å, degrees): 7.0537 7.0537 4.2868 90.00 90.00 90.00
Element x y z (fractional)
Al (0.0000, 0.0000, 0.0000)
Pb (0.3349, 0.1651, 0.5000)
Pb (0.1651, 0.6651, 0.5000)
Ti (0.8539, 0.6461, 0.0000)
Pb (0.6651, 0.8349, 0.5000)
Ti (0.3539, 0.8539, 0.0000)
Ti (0.1461, 0.3539, 0.0000)
Al (0.5000, 0.5000, 0.0000)
Ti (0.6461, 0.1461, 0.0000)
Pb (0.8349, 0.3349, 0.5000)

=====

# 2
Material: Sc2ZnBi2
Method: DFT, GGA-PBE
State: optimized geometry

## Properties
E above lowest polymorph (eV per atom): 0.079
Energy of formation (meV/atom): -285
D(E_F) (states/eV/f.u.): 1.34

Lattice parameters (Å, degrees): 7.9455 7.9455 3.9873 90.00 90.00 90.00
Element x y z (fractional)
Bi (0.3438, 0.8438, 0.0000)
Sc (0.3504, 0.1496, 0.5000)
Zn (0.0000, 0.0000, 0.0000)
Sc (0.8504, 0.3504, 0.5000)
Zn (0.5000, 0.5000, 0.0000)
Bi (0.8438, 0.6562, 0.0000)
Sc (0.6496, 0.8504, 0.5000)
Bi (0.6562, 0.1562, 0.0000)
Bi (0.1562, 0.3438, 0.0000)
Sc (0.1496, 0.6496, 0.5000)